Entry 1:
A plane-wave DFT calculation with PBE-GGA was carried out for crystalline CoH2S at its relaxed geometry.

Values from the calculation:
Energy relative to the lowest polymorph listed for this composition in eV/f.u.: 0.92
Magnetization in μB per atom: 0.00
D(E_F) in states/eV/atom: 0.630
Energy in eV/atom: -3.843

Cell: 3.7167 3.7167 3.4265 Å, 57.16 57.16 60.00°
Last column: nearest neighbours and their distance in Å.
Sites, in units of the cell vectors:
H: 0.1952 0.1952 0.4144  1 Co 1.56
H: 0.8048 0.8048 0.5856  1 Co 1.56
S: 0.5000 0.5000 0.5000  6 H 2.16
Co: 0.0000 0.0000 0.0000  2 H 1.56

=====

Entry 2:
A plane-wave DFT calculation with PBE-GGA was carried out for crystalline CoHS4 at its relaxed geometry.

Values from the calculation:
Magnetization in μB per atom: 0.00
D(E_F) in states/eV/atom: 0.038
Energy in eV/atom: -4.603

Cell: 14.8011 3.5693 9.3947 Å, 104.15 150.43 87.99°
Last column: nearest neighbours and their distance in Å.
Sites, in units of the cell vectors:
Co: 0.0000 0.5000 0.5000  6 S 2.26-2.32
Co: 0.5000 0.0000 0.5000  6 S 2.26-2.33
H: 0.4454 0.3429 0.1404  1 S 1.44
H: 0.5546 0.6571 0.8596  1 S 1.44
S: 0.3086 0.7716 0.8519  1 H 1.91, 1 S 2.06
S: 0.5297 0.7894 0.2953  1 H 1.44
S: 0.6914 0.2284 0.1481  1 H 1.91, 1 S 2.06
S: 0.4703 0.2106 0.7047  1 H 1.44
S: 0.7123 0.6455 0.7922  1 S 2.11, 2 Co 2.26-2.33
S: 0.9608 0.8802 0.2882  1 S 2.11, 2 Co 2.26-2.32
S: 0.2877 0.3545 0.2078  1 S 2.11, 2 Co 2.26-2.33
S: 0.0392 0.1198 0.7118  1 S 2.11, 2 Co 2.26-2.32

=====

Entry 3:
A plane-wave DFT calculation with PBE-GGA was carried out for crystalline Co2HS2 at its relaxed geometry.

Values from the calculation:
Energy relative to the lowest polymorph listed for this composition in eV/f.u.: 0.00
Magnetization in μB per atom: 0.39
D(E_F) in states/eV/atom: 0.608
Energy in eV/atom: -5.058

Cell: 3.6307 3.6307 6.6973 Å, 74.27 74.27 90.00°
Last column: nearest neighbours and their distance in Å.
Sites, in units of the cell vectors:
H: 0.0000 0.0000 0.0000  8 S 3.19
S: 0.3476 0.3476 0.3048  4 Co 2.18
S: 0.6524 0.6524 0.6952  4 Co 2.18
Co: 0.7500 0.2500 0.5000  4 S 2.18
Co: 0.2500 0.7500 0.5000  4 S 2.18

=====

Entry 4:
A plane-wave DFT calculation with PBE-GGA was carried out for crystalline Co2HS at its relaxed geometry.

Values from the calculation:
Magnetization in μB per atom: 0.27
D(E_F) in states/eV/atom: 0.784
Energy in eV/atom: -5.203

Cell: 3.7124 3.7124 3.7124 Å, 60.00 60.00 60.00°
Last column: nearest neighbours and their distance in Å.
Sites, in units of the cell vectors:
H: 0.0000 0.0000 0.0000  8 Co 2.27
S: 0.5000 0.5000 0.5000  8 Co 2.27
Co: 0.2500 0.2500 0.2500  4 S 2.27, 4 H 2.27
Co: 0.7500 0.7500 0.7500  4 S 2.27, 4 H 2.27

=====

Entry 5:
A plane-wave DFT calculation with PBE-GGA was carried out for crystalline CoH2S8 at its relaxed geometry.

Values from the calculation:
Magnetization in μB per atom: 0.00
D(E_F) in states/eV/atom: 0.492
Energy in eV/atom: -4.267

Cell: 3.1824 8.1385 15.9713 Å, 150.35 95.15 90.64°
Last column: nearest neighbours and their distance in Å.
Sites, in units of the cell vectors:
Co: 0.5000 0.0000 0.0000  6 S 2.25-2.30
H: 0.2739 0.8828 0.5658  1 S 1.39
H: 0.7261 0.1172 0.4342  1 S 1.39
S: 0.6373 0.5628 0.2695  1 S 2.02, 1 Co 2.25
S: 0.3610 0.2110 0.7429  1 H 1.39
S: 0.1543 0.2946 0.3218  1 S 1.97
S: 0.0332 0.9398 0.0766  1 S 1.97
S: 0.8457 0.7054 0.6782  1 S 1.97
S: 0.6390 0.7890 0.2571  1 H 1.39
S: 0.3627 0.4372 0.7305  1 S 2.02, 1 Co 2.25
S: 0.9668 0.0602 0.9234  1 S 1.97

=====

Entry 6:
A plane-wave DFT calculation with PBE-GGA was carried out for crystalline CoH2S at its relaxed geometry.

Values from the calculation:
Energy relative to the lowest polymorph listed for this composition in eV/f.u.: 0.00
Magnetization in μB per atom: 0.03
D(E_F) in states/eV/atom: 0.693
Energy in eV/atom: -4.072

Cell: 3.2309 3.2309 6.8170 Å, 76.29 76.29 90.00°
Last column: nearest neighbours and their distance in Å.
Sites, in units of the cell vectors:
H: 0.8762 0.1250 0.2500  2 H 1.62, 2 Co 1.80
H: 0.8738 0.6250 0.2500  2 H 1.62, 2 Co 1.80
H: 0.3750 0.1238 0.7500  2 H 1.62, 2 Co 1.80
H: 0.8750 0.1262 0.7500  2 H 1.62, 2 Co 1.80
S: 0.5000 0.5000 0.0000  4 Co 2.28, 8 H 2.41-2.42
S: 0.2500 0.7500 0.5000  4 Co 2.28, 8 H 2.41-2.42
Co: 0.0000 0.0000 0.0000  4 H 1.80
Co: 0.7500 0.2500 0.5000  4 H 1.80

=====

Entry 7:
A plane-wave DFT calculation with PBE-GGA was carried out for crystalline CoH3S at its relaxed geometry.

Values from the calculation:
Energy relative to the lowest polymorph listed for this composition in eV/f.u.: 0.00
Magnetization in μB per atom: 0.12
D(E_F) in states/eV/atom: 0.697
Energy in eV/atom: -3.540

Cell: 3.3293 3.3293 3.3293 Å, 90.00 90.00 90.00°
Last column: nearest neighbours and their distance in Å.
Sites, in units of the cell vectors:
H: 0.0000 0.5000 0.0000  2 Co 1.66
H: 0.0000 0.0000 0.5000  2 Co 1.66
H: 0.5000 0.0000 0.0000  2 Co 1.66
S: 0.5000 0.5000 0.5000  12 H 2.35
Co: 0.0000 0.0000 0.0000  6 H 1.66

=====

Entry 8:
A plane-wave DFT calculation with PBE-GGA was carried out for crystalline CoSiH2S at its relaxed geometry.

Values from the calculation:
Magnetization in μB per atom: 0.21
D(E_F) in states/eV/atom: 1.056
Energy in eV/atom: -4.334

Cell: 3.3144 4.9590 3.3144 Å, 90.00 90.00 90.00°
Last column: nearest neighbours and their distance in Å.
Sites, in units of the cell vectors:
H: 0.0000 0.0000 0.5000  2 Si 1.66
H: 0.5000 0.0000 0.0000  2 Si 1.66
S: 0.0000 0.5000 0.0000  4 Co 2.34, 2 Si 2.48
Co: 0.5000 0.5000 0.5000  4 S 2.34
Si: 0.0000 0.0000 0.0000  4 H 1.66

=====

Entry 9:
A plane-wave DFT calculation with PBE-GGA was carried out for crystalline Ta2CoH2S6 at its relaxed geometry.

Values from the calculation:
Magnetization in μB per atom: 0.09
D(E_F) in states/eV/atom: 0.465
Energy in eV/atom: -6.185

Cell: 6.0604 6.0604 7.3134 Å, 106.45 106.45 122.18°
Last column: nearest neighbours and their distance in Å.
Sites, in units of the cell vectors:
Ta: 0.3619 0.6381 0.5000  6 S 2.41-2.60
Ta: 0.6381 0.3619 0.5000  6 S 2.41-2.60
Co: 0.0000 0.0000 0.5000  6 S 2.37-2.39
H: 0.6662 0.3338 0.0000  2 S 1.65
H: 0.3338 0.6662 0.0000  2 S 1.65
S: 0.8827 0.8827 0.7593  1 Co 2.37, 2 Ta 2.41
S: 0.1451 0.4820 0.7228  1 H 1.65
S: 0.1173 0.1173 0.2407  1 Co 2.37, 2 Ta 2.41
S: 0.4820 0.1451 0.7228  1 H 1.65
S: 0.8549 0.5180 0.2772  1 H 1.65
S: 0.5180 0.8549 0.2772  1 H 1.65

=====

Entry 10:
A plane-wave DFT calculation with PBE-GGA was carried out for crystalline Zn2CoHS at its relaxed geometry.

Values from the calculation:
Magnetization in μB per atom: 0.00
D(E_F) in states/eV/atom: 0.195
Energy in eV/atom: -2.645

Cell: 4.7665 3.9824 4.7665 Å, 90.00 90.00 90.00°
Last column: nearest neighbours and their distance in Å.
Sites, in units of the cell vectors:
H: 0.5000 0.5000 0.5000  8 Zn 3.11, 4 Co 3.37
Zn: 0.0000 0.0000 0.5000  2 S 2.38
Zn: 0.5000 0.0000 0.0000  2 S 2.38
Co: 0.0000 0.5000 0.0000  2 S 1.99
S: 0.0000 0.0000 0.0000  2 Co 1.99

=====

Entry 11:
A plane-wave DFT calculation with PBE-GGA was carried out for crystalline CoSbH2 at its relaxed geometry.

Values from the calculation:
Energy relative to the lowest polymorph listed for this composition in eV/f.u.: 0.85
Magnetization in μB per atom: 0.00
D(E_F) in states/eV/atom: 0.262
Energy in eV/atom: -4.150

Cell: 4.4365 4.4365 5.4740 Å, 66.09 66.09 90.00°
Last column: nearest neighbours and their distance in Å.
Sites, in units of the cell vectors:
Sb: 0.0000 0.0000 0.0000  8 H 2.72
Sb: 0.7500 0.2500 0.5000  8 H 2.72
Co: 0.5000 0.5000 0.0000  4 H 1.58
Co: 0.2500 0.7500 0.5000  4 H 1.58
H: 0.3756 0.1250 0.2500  2 Co 1.58
H: 0.3744 0.6250 0.2500  2 Co 1.58
H: 0.3750 0.6244 0.7500  2 Co 1.58
H: 0.8750 0.6256 0.7500  2 Co 1.58

=====

Entry 12:
A plane-wave DFT calculation with PBE-GGA was carried out for crystalline CoSbH2 at its relaxed geometry.

Values from the calculation:
Energy relative to the lowest polymorph listed for this composition in eV/f.u.: 0.00
Magnetization in μB per atom: 0.00
D(E_F) in states/eV/atom: 0.509
Energy in eV/atom: -4.364

Cell: 3.1915 3.1915 4.7165 Å, 109.81 109.81 90.00°
Last column: nearest neighbours and their distance in Å.
Sites, in units of the cell vectors:
Co: 0.6128 0.1128 0.2251  4 H 1.69
Sb: 0.2964 0.7964 0.5925  8 H 2.61-2.62, 5 Co 2.62-2.72
H: 0.5455 0.5453 0.0912  2 Co 1.69
H: 0.0453 0.0456 0.0912  2 Co 1.69

=====

Entry 13:
A plane-wave DFT calculation with PBE-GGA was carried out for crystalline CoSbH3 at its relaxed geometry.

Values from the calculation:
Energy relative to the lowest polymorph listed for this composition in eV/f.u.: 0.00
Magnetization in μB per atom: 0.00
D(E_F) in states/eV/atom: 0.226
Energy in eV/atom: -3.886

Cell: 3.5191 3.5191 3.5191 Å, 90.00 90.00 90.00°
Last column: nearest neighbours and their distance in Å.
Sites, in units of the cell vectors:
Sb: 0.5000 0.5000 0.5000  12 H 2.49
Co: 0.0000 0.0000 0.0000  6 H 1.76
H: 0.0000 0.5000 0.0000  2 Co 1.76
H: 0.0000 0.0000 0.5000  2 Co 1.76
H: 0.5000 0.0000 0.0000  2 Co 1.76